Record 1
Here is crystalline Na2MgPb2 at its relaxed geometry from Alexandria. Energies are from PBE.

abc: 7.820 7.820 4.927
angles: 90.00 90.00 90.00
Atoms (fractional coordinates):
Na1 0.162 0.338 0.000
Na2 0.338 0.838 0.000
Na3 0.662 0.162 0.000
Na4 0.838 0.662 0.000
Mg1 0.000 0.000 0.500
Mg2 0.500 0.500 0.500
Pb1 0.142 0.642 0.500
Pb2 0.358 0.142 0.500
Pb3 0.642 0.858 0.500
Pb4 0.858 0.358 0.500

energy relative to the lowest polymorph listed for this composition	0.028	eV per atom
raw total energy	-2.404	eV per atom
ρ	5.3	g cm⁻³
total moment	0.0	μB/f.u.



Record 2
Here is crystalline Na12Mg3Pb5 at its relaxed geometry from Alexandria. Energies are from PBE.

abc: 16.069 16.069 16.069
angles: 109.47 109.47 109.47
Atoms (fractional coordinates):
Na1 0.058 0.226 0.129
Na2 0.058 0.333 0.929
Na3 0.071 0.629 0.404
Na4 0.071 0.942 0.667
Na5 0.096 0.726 0.667
Na6 0.096 0.871 0.429
Na7 0.129 0.058 0.226
Na8 0.129 0.571 0.904
Na9 0.167 0.226 0.596
Na10 0.167 0.442 0.571
Na11 0.226 0.129 0.058
Na12 0.226 0.596 0.167
Na13 0.274 0.333 0.904
Na14 0.274 0.442 0.371
Na15 0.333 0.904 0.274
Na16 0.333 0.929 0.058
Na17 0.371 0.274 0.442
Na18 0.371 0.596 0.929
Na19 0.404 0.071 0.629
Na20 0.404 0.833 0.774
Na21 0.429 0.096 0.871
Na22 0.429 0.833 0.558
Na23 0.442 0.371 0.274
Na24 0.442 0.571 0.167
Na25 0.558 0.429 0.833
Na26 0.558 0.629 0.726
Na27 0.571 0.167 0.442
Na28 0.571 0.904 0.129
Na29 0.596 0.167 0.226
Na30 0.596 0.929 0.371
Na31 0.629 0.404 0.071
Na32 0.629 0.726 0.558
Na33 0.667 0.071 0.942
Na34 0.667 0.096 0.726
Na35 0.726 0.558 0.629
Na36 0.726 0.667 0.096
Na37 0.774 0.404 0.833
Na38 0.774 0.871 0.942
Na39 0.833 0.558 0.429
Na40 0.833 0.774 0.404
Na41 0.871 0.429 0.096
Na42 0.871 0.942 0.774
Na43 0.904 0.129 0.571
Na44 0.904 0.274 0.333
Na45 0.929 0.058 0.333
Na46 0.929 0.371 0.596
Na47 0.942 0.667 0.071
Na48 0.942 0.774 0.871
Mg1 0.125 0.250 0.375
Mg2 0.125 0.375 0.750
Mg3 0.250 0.375 0.125
Mg4 0.250 0.875 0.625
Mg5 0.375 0.125 0.250
Mg6 0.375 0.750 0.125
Mg7 0.625 0.250 0.875
Mg8 0.625 0.875 0.750
Mg9 0.750 0.125 0.375
Mg10 0.750 0.625 0.875
Mg11 0.875 0.625 0.250
Mg12 0.875 0.750 0.625
Pb1 0.000 0.000 0.000
Pb2 0.000 0.000 0.500
Pb3 0.000 0.500 0.000
Pb4 0.000 0.500 0.500
Pb5 0.125 0.750 0.875
Pb6 0.125 0.875 0.250
Pb7 0.250 0.125 0.875
Pb8 0.250 0.625 0.375
Pb9 0.375 0.250 0.625
Pb10 0.375 0.625 0.750
Pb11 0.500 0.000 0.000
Pb12 0.500 0.000 0.500
Pb13 0.500 0.500 0.000
Pb14 0.500 0.500 0.500
Pb15 0.625 0.375 0.250
Pb16 0.625 0.750 0.375
Pb17 0.750 0.375 0.625
Pb18 0.750 0.875 0.125
Pb19 0.875 0.125 0.750
Pb20 0.875 0.250 0.125

raw total energy	-1.618	eV per atom
ρ	2.9	g cm⁻³
total moment	0.0	μB/f.u.



Record 3
Here is crystalline NaMg6Pb6 at its relaxed geometry from Alexandria. Energies are from PBE.

abc: 8.147 8.147 8.147
angles: 135.31 100.03 96.59
Atoms (fractional coordinates):
Na1 0.000 0.000 0.000
Mg1 0.000 0.000 0.500
Mg2 0.000 0.500 0.000
Mg3 0.246 0.500 0.746
Mg4 0.500 0.000 0.000
Mg5 0.500 0.500 0.500
Mg6 0.754 0.500 0.254
Pb1 0.167 0.667 0.500
Pb2 0.336 0.336 0.000
Pb3 0.339 0.000 0.339
Pb4 0.661 0.000 0.661
Pb5 0.664 0.664 0.000
Pb6 0.833 0.333 0.500

energy relative to the lowest polymorph listed for this composition	0.000	eV per atom
raw total energy	-2.610	eV per atom
ρ	6.7	g cm⁻³
total moment	0.0	μB/f.u.



Record 4
Here is crystalline NaMgPb4 at its relaxed geometry from Alexandria. Energies are from PBE.

abc: 4.941 4.941 10.475
angles: 106.84 106.84 52.68
Atoms (fractional coordinates):
Na1 0.000 0.000 0.000
Mg1 0.500 0.500 0.500
Pb1 0.133 0.133 0.352
Pb2 0.376 0.376 0.186
Pb3 0.624 0.624 0.814
Pb4 0.867 0.867 0.648

energy relative to the lowest polymorph listed for this composition	0.046	eV per atom
raw total energy	-2.951	eV per atom
ρ	7.6	g cm⁻³
total moment	0.0	μB/f.u.



Record 5
Here is crystalline NaMg4Pb5 at its relaxed geometry from Alexandria. Energies are from PBE.

abc: 3.624 3.624 20.409
angles: 90.00 90.00 90.00
Atoms (fractional coordinates):
Na1 0.000 0.000 0.000
Mg1 0.000 0.000 0.204
Mg2 0.000 0.000 0.401
Mg3 0.000 0.000 0.599
Mg4 0.000 0.000 0.796
Pb1 0.500 0.500 0.112
Pb2 0.500 0.500 0.303
Pb3 0.500 0.500 0.500
Pb4 0.500 0.500 0.697
Pb5 0.500 0.500 0.888

raw total energy	-2.715	eV per atom
ρ	7.2	g cm⁻³
total moment	0.0	μB/f.u.



Record 6
Here is crystalline Na2Mg5Pb3 at its relaxed geometry from Alexandria. Energies are from PBE.

abc: 14.509 14.509 7.496
angles: 90.00 90.00 160.36
Atoms (fractional coordinates):
Na1 0.021 0.979 0.500
Na2 0.306 0.694 0.724
Na3 0.694 0.306 0.224
Na4 0.979 0.021 0.000
Mg1 0.097 0.903 0.869
Mg2 0.200 0.800 0.528
Mg3 0.205 0.795 0.971
Mg4 0.380 0.620 0.056
Mg5 0.437 0.563 0.674
Mg6 0.563 0.437 0.174
Mg7 0.620 0.380 0.556
Mg8 0.795 0.205 0.471
Mg9 0.800 0.200 0.028
Mg10 0.903 0.097 0.369
Pb1 0.121 0.879 0.270
Pb2 0.284 0.716 0.248
Pb3 0.461 0.539 0.291
Pb4 0.539 0.461 0.791
Pb5 0.716 0.284 0.748
Pb6 0.879 0.121 0.770

raw total energy	-2.259	eV per atom
ρ	4.9	g cm⁻³
total moment	0.0	μB/f.u.



Record 7
Here is crystalline NaMgPb at its relaxed geometry from Alexandria. Energies are from PBE.

abc: 5.117 5.117 3.714
angles: 90.00 90.00 120.00
Atoms (fractional coordinates):
Na1 0.000 0.000 0.000
Mg1 0.333 0.667 0.499
Pb1 0.667 0.333 0.502

energy relative to the lowest polymorph listed for this composition	0.052	eV per atom
raw total energy	-2.290	eV per atom
ρ	5.0	g cm⁻³
total moment	0.0	μB/f.u.



Record 8
Here is crystalline NaMg12Pb6 at its relaxed geometry from Alexandria. Energies are from PBE.

abc: 8.021 8.021 8.021
angles: 84.81 84.81 84.81
Atoms (fractional coordinates):
Na1 0.000 0.000 0.000
Mg1 0.073 0.229 0.404
Mg2 0.229 0.404 0.073
Mg3 0.246 0.584 0.419
Mg4 0.404 0.073 0.229
Mg5 0.416 0.581 0.754
Mg6 0.419 0.246 0.584
Mg7 0.581 0.754 0.416
Mg8 0.584 0.419 0.246
Mg9 0.596 0.927 0.771
Mg10 0.754 0.416 0.581
Mg11 0.771 0.596 0.927
Mg12 0.927 0.771 0.596
Pb1 0.077 0.389 0.748
Pb2 0.252 0.923 0.611
Pb3 0.389 0.748 0.077
Pb4 0.611 0.252 0.923
Pb5 0.748 0.077 0.389
Pb6 0.923 0.611 0.252

energy relative to the lowest polymorph listed for this composition	0.000	eV per atom
raw total energy	-2.267	eV per atom
ρ	5.1	g cm⁻³
total moment	0.0	μB/f.u.



no.,V (Å³ per atom),ΔH_f (0 K) (eV/atom)
1,30.13,-0.075
2,39.92,0.339
3,27.04,-0.061
4,32.07,0.007
5,26.80,-0.091
6,26.52,-0.085
7,28.08,-0.083
8,26.85,-0.019